(1)
Below is CrGePt2C after structural relaxation, with properties calculated at the PBE-GGA level.

Cell and atoms, written as CIF:
```
data_CrGePt2C
_space_group_name_H-M_alt 'P 4/m m m'
_space_group_IT_number 123
_space_group_name_Hall '-P 4 2'
_cell_length_a 4.795
_cell_length_b 4.795
_cell_length_c 3.759
_cell_angle_alpha 90.00
_cell_angle_beta 90.00
_cell_angle_gamma 90.00
loop_
_atom_site_label
_atom_site_type_symbol
_atom_site_fract_x
_atom_site_fract_y
_atom_site_fract_z
Cr1 Cr 0.000 0.000 0.000
Ge1 Ge 0.500 0.500 0.500
Pt1 Pt 0.000 0.500 0.500
C1 C 0.500 0.500 0.000
```

Properties
DOS at the Fermi energy = 4.27 states/eV per cell
Volume = 86.4 Å³/cell
Crystal system = tetragonal
Calculated formation energy = 1.22 eV/atom

=====

(2)
Below is Cr2GePtC after structural relaxation, with properties calculated at the PBE-GGA level.

Cell and atoms, written as CIF:
```
data_Cr2GePtC
_space_group_name_H-M_alt 'P 4/m m m'
_space_group_IT_number 123
_space_group_name_Hall '-P 4 2'
_cell_length_a 4.825
_cell_length_b 4.825
_cell_length_c 3.665
_cell_angle_alpha 90.00
_cell_angle_beta 90.00
_cell_angle_gamma 90.00
loop_
_atom_site_label
_atom_site_type_symbol
_atom_site_fract_x
_atom_site_fract_y
_atom_site_fract_z
Cr1 Cr 0.000 0.500 0.000
Ge1 Ge 0.000 0.000 0.000
Pt1 Pt 0.500 0.500 0.500
C1 C 0.000 0.000 0.500
```

Properties
DOS at the Fermi energy = 4.50 states/eV per cell
Volume = 85.3 Å³/cell
Crystal system = tetragonal
Calculated formation energy = 1.51 eV/atom